This record from the Alexandria database describes a geometry-optimized Ac2UMnO8 structure. The functional is GGA+U.

The space group is P-1 (No. 2) and the conventional cell measures 4.6274, 5.5455 and 7.7250 Å, with angles of 82.71, 86.39 and 84.02 degrees. The asymmetric unit holds Ac at (0.0967, 0.0137, 0.2439), U at (0.5000, 0.5000, 0.5000), Mn at (0.5000, 0.5000, 0.0000), O at (0.1335, 0.7238, 0.5287), O at (0.2253, 0.7788, 0.9915), O at (0.3709, 0.3882, 0.2372) and O at (0.3813, 0.2108, 0.6641).

As for the calculated total energy: -8.29 eV/atom. The value obtained for the magnetization is 2.96 μB per formula unit. Its density of states at the Fermi level is 5.85 states/eV/f.u.